# 1
RbAg2As | PBE | optimized geometry

The structure in POSCAR format:
```
RbAg2As
1.0
5.8420 0.0000 0.0000
0.0000 5.8420 0.0000
2.9210 2.9210 8.1324
Ag As Rb
4 2 2
direct
0.8750 0.6240 0.7500
0.3760 0.6250 0.2500
0.3750 0.6260 0.7500
0.3740 0.1250 0.2500
0.5000 0.5000 0.0000
0.2500 0.7500 0.5000
0.7500 0.2500 0.5000
0.0000 0.0000 0.0000
```

E_form = -144 meV per atom
total magnetic moment = 0.0 μB per formula unit
crystal system = tetragonal

# 2
Tb4CdCo | PBE | optimized geometry

The structure in POSCAR format:
```
Tb4CdCo
1.0
6.0000 -0.9918 0.0000
-2.1492 8.9027 0.0000
-1.9254 -3.9555 6.2593
Tb Cd Co
8 2 2
direct
0.2253 0.2679 0.3266
0.7747 0.7321 0.6734
0.2347 0.6295 0.8297
0.3988 0.9413 0.6734
0.0951 0.2002 0.8297
0.9049 0.7998 0.1703
0.7653 0.3705 0.1703
0.6012 0.0587 0.3266
0.3748 0.6248 0.2496
0.6252 0.3752 0.7504
0.2492 0.9992 0.9984
0.7508 0.0008 0.0016
```

E_form = -173 meV per atom
total magnetic moment = 0.0 μB per formula unit
crystal system = monoclinic

# 3
KCaTe2Au | PBE | optimized geometry

The structure in POSCAR format:
```
KCaTe2Au
1.0
-5.3106 1.6739 1.2428
-2.3525 -7.5653 0.1373
2.9560 3.3771 8.0825
Ca Te Au K
2 4 2 2
direct
0.5000 0.7500 0.0000
0.5000 0.2500 0.0000
0.7206 0.6244 0.2488
0.7206 0.8756 0.7512
0.2794 0.3756 0.7512
0.2794 0.1244 0.2488
0.0000 0.0000 0.0000
0.0000 0.5000 0.0000
0.2168 0.7500 0.5000
0.7832 0.2500 0.5000
```

total magnetic moment = 0.0 μB per formula unit
DFT total energy = -35.10 eV/cell
crystal system = orthorhombic

# 4
KRe2Pd | PBE | optimized geometry

The structure in POSCAR format:
```
KRe2Pd
1.0
-4.0956 1.1206 1.5196
-1.6916 -0.5654 -4.1422
-4.6833 -8.9659 0.6813
Re K Pd
4 2 2
direct
0.8750 0.0469 0.7500
0.9531 0.6250 0.2500
0.3750 0.2031 0.7500
0.7969 0.1250 0.2500
0.5000 0.5000 0.0000
0.2500 0.7500 0.5000
0.0000 0.0000 0.0000
0.7500 0.2500 0.5000
```

E_form = 1550 meV per atom
total magnetic moment = 0.0 μB per formula unit
crystal system = tetragonal

# 5
TaNiAs2Se | PBE | optimized geometry

The structure in POSCAR format:
```
TaNiAs2Se
1.0
-0.0408 1.0098 4.3825
4.0846 -1.8257 0.4587
1.9681 4.1667 -0.9418
Se As Ni Ta
1 2 1 1
direct
0.0000 0.0000 0.5000
0.5000 0.0000 0.0000
0.0000 0.5000 0.0000
0.0000 0.0000 0.0000
0.5000 0.5000 0.5000
```

total magnetic moment = 0.9 μB per formula unit
DFT total energy = -27.02 eV/cell
crystal system = tetragonal

# 6
ZrCoCu | PBE | optimized geometry

The structure in POSCAR format:
```
ZrCoCu
1.0
-0.8265 -3.5873 -2.9583
4.3048 -1.6149 -3.0140
1.6682 -7.0455 4.3077
Co Cu Zr
4 4 4
direct
0.1293 0.0000 0.7414
0.8793 0.5000 0.2414
0.8707 0.0000 0.2586
0.6207 0.5000 0.7586
0.5846 0.0000 0.8309
0.1654 0.5000 0.6691
0.3346 0.5000 0.3309
0.4154 0.0000 0.1691
0.8523 0.2954 0.0000
0.1477 0.7046 0.0000
0.8977 0.2046 0.5000
0.6023 0.7954 0.5000
```

E_form = 115 meV per atom
total magnetic moment = 0.0 μB per formula unit
crystal system = orthorhombic

# 7
NiOs4Br | PBE | optimized geometry

The structure in POSCAR format:
```
NiOs4Br
1.0
0.3952 -0.8227 5.1154
0.4486 4.0277 3.2522
-3.9425 1.2515 3.1450
Os Br Ni
4 1 1
direct
0.3748 0.3748 0.3748
0.8756 0.3748 0.3748
0.3748 0.3748 0.8756
0.3748 0.8756 0.3748
0.7500 0.7500 0.7500
0.0000 0.0000 0.0000
```

total magnetic moment = 0.0 μB per formula unit
DFT total energy = -43.54 eV/cell
crystal system = cubic

# 8
Cs2NbAlBr6 | PBE | optimized geometry

The structure in POSCAR format:
```
Cs2NbAlBr6
1.0
8.0139 0.0000 0.0000
0.0000 8.0139 0.0000
4.0070 4.0070 5.6649
Al Br Cs Nb
1 6 2 1
direct
0.5000 0.5000 0.0000
0.7640 0.7640 0.4719
0.2360 0.2360 0.5281
0.2359 0.7641 0.0000
0.2359 0.2359 0.0000
0.7641 0.2359 0.0000
0.7641 0.7641 0.0000
0.7500 0.2500 0.5000
0.2500 0.7500 0.5000
0.0000 0.0000 0.0000
```

total magnetic moment = 2.0 μB per formula unit
DFT total energy = -36.36 eV/cell
crystal system = cubic

Look up the total magnetic moment of the seventh one.
0.0 μB per formula unit